A geometry-optimized Li4Ti3Cr2Co3O16 structure, computed with GGA+U.

CIF file:
```
data_Li4Ti3Cr2Co3O16
_cell_length_a 9.942
_cell_length_b 5.830
_cell_length_c 9.525
_cell_angle_alpha 90.00
_cell_angle_beta 90.15
_cell_angle_gamma 90.00
_space_group_name_H-M_alt 'C 1 m 1'
_space_group_IT_number 8
_space_group_name_Hall 'C -2y'
loop_
_atom_site_label
_atom_site_type_symbol
_atom_site_fract_x
_atom_site_fract_y
_atom_site_fract_z
_atom_site_occupancy
Li1 Li 0.000 0.000 0.000 1
Li2 Li 0.007 0.000 0.494 1
Li3 Li 0.183 0.500 0.105 1
Li4 Li 0.349 0.000 0.597 1
Ti1 Ti 0.099 0.252 0.781 1
Ti2 Ti 0.183 0.000 0.280 1
Cr1 Cr 0.180 0.500 0.507 1
Cr2 Cr 0.349 0.000 0.013 1
Co1 Co 0.341 0.500 0.779 1
Co2 Co 0.427 0.247 0.283 1
O1 O 0.008 0.000 0.186 1
O2 O 0.010 0.000 0.682 1
O3 O 0.034 0.500 0.655 1
O4 O 0.093 0.244 0.392 1
O5 O 0.178 0.000 0.894 1
O6 O 0.179 0.500 0.893 1
O7 O 0.256 0.279 0.654 1
O8 O 0.275 0.222 0.156 1
O9 O 0.348 0.500 0.381 1
O10 O 0.349 0.000 0.390 1
O11 O 0.432 0.253 0.890 1
O12 O 0.493 0.000 0.168 1
```

Computed properties:
As for the total moment: 10.0 μB per cell. For the density of states at the Fermi level, the calculation gives 0.09 states/eV/atom. The calculation puts the calculated volume at 9.9 Å³ per atom. The raw total energy comes out at -7.0586 eV/atom.